1.
Density functional theory data (PBE) for KTe2CI after structural relaxation.

Cell and atoms, written as POSCAR:
```
KTe2CI
1.0
6.852 0.000 0.000
0.000 6.852 0.000
0.000 0.000 6.569
Te K I C
2 1 1 1
Direct
0.000 0.500 0.000
0.500 0.000 0.000
0.000 0.000 0.000
0.000 0.000 0.500
0.500 0.500 0.500
```

Properties
Distance to the lowest polymorph of the same formula   1441 meV per atom
DFT total energy   -1.715 eV per atom
Formation energy from raw total energies   1.915 eV/atom
Fermi-level density of states   8.86 states/eV/f.u.
Symmetry   P4/mmm
Magnetization   5.89 μB per formula unit


2.
Density functional theory data (PBE) for Ce2HoMnN5 after structural relaxation.

Cell and atoms, written as POSCAR:
```
Ce2HoMnN5
1.0
-1.995 -4.865 2.015
4.262 -3.270 -3.675
4.346 0.223 4.841
Ho N Ce Mn
2 10 4 2
Direct
0.000 0.500 0.500
0.000 0.000 0.000
0.225 0.855 0.355
0.500 0.500 0.500
0.775 0.855 0.355
0.775 0.145 0.645
0.225 0.145 0.645
0.225 0.645 0.855
0.225 0.355 0.145
0.775 0.355 0.145
0.500 0.000 0.000
0.775 0.645 0.855
0.500 0.332 0.832
0.500 0.668 0.168
0.500 0.168 0.332
0.500 0.832 0.668
0.000 0.500 0.000
0.000 0.000 0.500
```

Properties
DFT total energy   -8.377 eV per atom
Formation energy from raw total energies   -0.905 eV/atom
Fermi-level density of states   5.17 states/eV/f.u.
Symmetry   P4/mbm
Magnetization   0.98 μB per formula unit


3.
Density functional theory data (PBE) for Y3Be2ZnPd9 after structural relaxation.

Cell and atoms, written as POSCAR:
```
Y3Be2ZnPd9
1.0
5.862 0.000 0.000
-2.931 5.076 0.000
0.000 0.000 8.997
Be Pd Y Zn
2 9 3 1
Direct
0.667 0.333 0.848
0.333 0.667 0.152
0.000 0.500 0.000
0.163 0.326 0.292
0.674 0.837 0.292
0.837 0.163 0.708
0.163 0.837 0.292
0.500 0.500 0.000
0.500 0.000 0.000
0.326 0.163 0.708
0.837 0.674 0.708
0.333 0.667 0.652
0.667 0.333 0.348
0.000 0.000 0.000
0.000 0.000 0.500
```

Properties
DFT total energy   -5.634 eV per atom
Fermi-level density of states   3.22 states/eV/f.u.
Symmetry   P-3m1
Magnetization   0.00 μB per formula unit
DFT formation energy   -0.644 eV/atom


4.
Density functional theory data (PBE) for Na2HoI5 after structural relaxation.

Cell and atoms, written as POSCAR:
```
Na2HoI5
1.0
6.140 0.000 0.000
-3.070 7.822 0.000
0.000 0.000 15.318
I Na Ho
10 4 2
Direct
0.685 0.370 0.902
0.284 0.568 0.750
0.315 0.630 0.098
0.315 0.630 0.402
0.048 0.096 0.120
0.048 0.096 0.380
0.952 0.904 0.880
0.716 0.432 0.250
0.685 0.370 0.598
0.952 0.904 0.620
0.846 0.691 0.445
0.154 0.309 0.555
0.154 0.309 0.945
0.846 0.691 0.055
0.187 0.373 0.250
0.813 0.627 0.750
```

Properties
Distance to the lowest polymorph of the same formula   0 meV per atom
DFT total energy   -3.146 eV per atom
Formation energy from raw total energies   -1.276 eV/atom
Fermi-level density of states   0.00 states/eV/f.u.
Symmetry   Cmcm
Magnetization   0.00 μB per formula unit


5.
Density functional theory data (PBE) for Hf2GeAu2 after structural relaxation.

Cell and atoms, written as POSCAR:
```
Hf2GeAu2
1.0
7.018 0.000 0.000
0.000 7.018 0.000
0.000 0.000 4.010
Ge Au Hf
2 4 4
Direct
0.000 0.000 0.000
0.500 0.500 0.000
0.636 0.136 0.000
0.364 0.864 0.000
0.136 0.364 0.000
0.864 0.636 0.000
0.833 0.333 0.500
0.667 0.833 0.500
0.167 0.667 0.500
0.333 0.167 0.500
```

Properties
Distance to the lowest polymorph of the same formula   0 meV per atom
DFT total energy   -6.528 eV per atom
Fermi-level density of states   2.71 states/eV/f.u.
Symmetry   P4/mbm
Magnetization   0.00 μB per formula unit
DFT formation energy   -0.312 eV/atom


6.
Density functional theory data (PBE) for BeC3Br after structural relaxation.

Cell and atoms, written as POSCAR:
```
BeC3Br
1.0
-2.807 -2.355 -1.402
1.480 0.387 -3.613
2.307 -3.114 0.612
Be C Br
1 3 1
Direct
0.500 0.500 0.500
0.000 0.500 0.000
0.500 0.000 0.000
0.000 0.000 0.500
0.000 0.000 0.000
```

Properties
Distance to the lowest polymorph of the same formula   973 meV per atom
DFT total energy   -2.825 eV per atom
Formation energy from raw total energies   3.789 eV/atom
Fermi-level density of states   3.24 states/eV/f.u.
Symmetry   Pm-3m
Magnetization   0.00 μB per formula unit


7.
Density functional theory data (PBE) for Mg2NiW after structural relaxation.

Cell and atoms, written as POSCAR:
```
Mg2NiW
1.0
0.811 -3.956 -1.988
-3.035 -3.313 0.260
-2.337 -1.204 -3.653
Mg W Ni
2 1 1
Direct
0.750 0.750 0.750
0.250 0.250 0.250
0.500 0.500 0.500
0.000 0.000 0.000
```

Properties
Distance to the lowest polymorph of the same formula   556 meV per atom
DFT total energy   -4.816 eV per atom
Fermi-level density of states   2.07 states/eV/f.u.
Symmetry   Fm-3m
Magnetization   2.28 μB per formula unit
DFT formation energy   0.665 eV/atom


8.
Density functional theory data (PBE) for Cr4PAu after structural relaxation.

Cell and atoms, written as POSCAR:
```
Cr4PAu
1.0
0.000 3.399 3.399
3.399 0.000 3.399
3.399 3.399 0.000
Cr P Au
4 1 1
Direct
0.374 0.374 0.879
0.374 0.879 0.374
0.879 0.374 0.374
0.374 0.374 0.374
0.750 0.750 0.750
0.000 0.000 0.000
```

Properties
DFT total energy   -7.374 eV per atom
Fermi-level density of states   7.45 states/eV/f.u.
Symmetry   F-43m
Magnetization   0.00 μB per formula unit
DFT formation energy   0.489 eV/atom


9.
Density functional theory data (PBE) for Tl5Sn4Pb4 after structural relaxation.

Cell and atoms, written as POSCAR:
```
Tl5Sn4Pb4
1.0
-1.387 2.639 3.769
-9.358 0.137 -0.475
-1.062 -6.157 6.984
Sn Pb Tl
4 4 5
Direct
0.390 0.680 0.541
0.930 0.459 0.680
0.610 0.320 0.459
0.070 0.541 0.320
0.153 0.086 0.607
0.239 0.607 0.914
0.847 0.914 0.393
0.761 0.393 0.086
0.460 0.236 0.845
0.540 0.764 0.155
0.696 0.845 0.764
0.304 0.155 0.236
0.000 0.000 0.000
```

Properties
DFT total energy   -3.267 eV per atom
Fermi-level density of states   6.93 states/eV/f.u.
Symmetry   I4/m
Magnetization   0.00 μB per formula unit
DFT formation energy   0.015 eV/atom


10.
Density functional theory data (PBE) for CuSiN2O after structural relaxation.

Cell and atoms, written as POSCAR:
```
CuSiN2O
1.0
3.638 0.000 0.000
0.000 3.638 0.000
0.000 0.000 3.495
Cu N Si O
1 2 1 1
Direct
0.500 0.500 0.500
0.500 0.000 0.000
0.000 0.500 0.000
0.000 0.000 0.000
0.000 0.000 0.500
```

Properties
DFT total energy   -6.004 eV per atom
Formation energy from raw total energies   0.222 eV/atom
Fermi-level density of states   3.01 states/eV/f.u.
Symmetry   P4/mmm
Magnetization   1.86 μB per formula unit


11.
Density functional theory data (PBE) for Pm3Nd12Th after structural relaxation.

Cell and atoms, written as POSCAR:
```
Pm3Nd12Th
1.0
5.190 0.000 0.000
0.000 5.190 0.000
0.000 0.000 20.749
Nd Pm Th
12 3 1
Direct
0.500 0.500 0.000
0.000 0.500 0.878
0.000 0.500 0.122
0.000 0.500 0.626
0.500 0.000 0.878
0.000 0.500 0.374
0.500 0.000 0.626
0.500 0.000 0.374
0.500 0.500 0.250
0.500 0.500 0.500
0.500 0.000 0.122
0.500 0.500 0.750
0.000 0.000 0.249
0.000 0.000 0.500
0.000 0.000 0.751
0.000 0.000 0.000
```

Properties
DFT total energy   -4.908 eV per atom
Fermi-level density of states   22.85 states/eV/f.u.
Symmetry   P4/mmm
Magnetization   0.00 μB per formula unit
DFT formation energy   0.022 eV/atom


12.
Density functional theory data (PBE) for RbCdAu after structural relaxation.

Cell and atoms, written as POSCAR:
```
RbCdAu
1.0
-5.165 -3.666 2.140
1.775 -1.653 -8.992
4.198 -4.906 1.730
Rb Cd Au
4 4 4
Direct
0.175 0.351 0.500
0.825 0.649 0.500
0.675 0.351 0.000
0.325 0.649 0.000
0.750 0.000 0.750
0.250 0.000 0.250
0.750 0.000 0.250
0.250 0.000 0.750
0.103 0.206 0.000
0.603 0.206 0.500
0.897 0.794 0.000
0.397 0.794 0.500
```

Properties
Distance to the lowest polymorph of the same formula   38 meV per atom
DFT total energy   -1.909 eV per atom
Fermi-level density of states   0.71 states/eV/f.u.
Symmetry   I4/mmm
Magnetization   0.00 μB per formula unit
DFT formation energy   -0.189 eV/atom